[1]
First-principles (GGA-PBE) data for a geometry-optimized Y12Er5Sc structure, as listed in Alexandria.

Summary:
The total magnetization comes out at 0.0 μB/cell. Its density is 5.73 g/cm³. For the calculated formation energy, the calculation gives 0.050 eV/atom.

Cell and atoms, written as POSCAR:
```
Y12Er5Sc
1.0
3.030 -5.372 0.000
3.030 5.372 0.000
-0.020 0.000 17.346
Y Er Sc
12 5 1
direct
0.002 0.333 0.162
0.165 0.498 0.665
0.169 0.169 0.336
0.328 0.328 0.838
0.333 0.002 0.162
0.498 0.165 0.665
0.502 0.835 0.335
0.667 0.998 0.838
0.672 0.672 0.162
0.831 0.831 0.664
0.835 0.502 0.335
0.998 0.667 0.838
0.167 0.833 0.500
0.334 0.666 0.000
0.500 0.500 0.500
0.666 0.334 0.000
0.833 0.167 0.500
0.000 0.000 0.000
```

[2]
First-principles (GGA-PBE) data for a geometry-optimized KBe2Cd structure, as listed in Alexandria.

Summary:
The total magnetization comes out at 0.0 μB/cell. Its density is 3.21 g/cm³. For the calculated formation energy, the calculation gives 1.087 eV/atom.

Cell and atoms, written as POSCAR:
```
KBe2Cd
1.0
4.554 0.000 0.000
0.000 4.554 0.000
0.000 0.000 4.235
K Be Cd
1 2 1
direct
0.000 0.000 0.000
0.000 0.500 0.500
0.500 0.000 0.500
0.500 0.500 0.000
```

> total magnetization of number 1 (Y12Er5Sc)?

0.0 μB/cell

> total magnetization of number 2 (KBe2Cd)?

0.0 μB/cell

What did the first record say?
First-principles (GGA-PBE) data for a geometry-optimized Y12Er5Sc structure, as listed in Alexandria.

Summary:
The total magnetization comes out at 0.0 μB/cell. Its density is 5.73 g/cm³. For the calculated formation energy, the calculation gives 0.050 eV/atom.

Cell and atoms, written as POSCAR:
```
Y12Er5Sc
1.0
3.030 -5.372 0.000
3.030 5.372 0.000
-0.020 0.000 17.346
Y Er Sc
12 5 1
direct
0.002 0.333 0.162
0.165 0.498 0.665
0.169 0.169 0.336
0.328 0.328 0.838
0.333 0.002 0.162
0.498 0.165 0.665
0.502 0.835 0.335
0.667 0.998 0.838
0.672 0.672 0.162
0.831 0.831 0.664
0.835 0.502 0.335
0.998 0.667 0.838
0.167 0.833 0.500
0.334 0.666 0.000
0.500 0.500 0.500
0.666 0.334 0.000
0.833 0.167 0.500
0.000 0.000 0.000
```

> The highest calculated formation energy belongs to which entry?

KBe2Cd